# 1
# K2NpAgBr6

A relaxed K2NpAgBr6 crystal (PBE, Alexandria via LeMat-Bulk).

Cell lengths 7.661, 8.144, 13.308 Å; angles 90.00, 124.25, 90.00 degrees
Atoms (fractional coordinates):
K  0.220  0.080  0.248
K  0.220  0.420  0.748
K  0.780  0.580  0.252
K  0.780  0.920  0.752
Np  0.500  0.000  0.000
Np  0.500  0.500  0.500
Ag  0.000  0.000  0.500
Ag  0.000  0.500  0.000
Br  0.140  0.195  0.944
Br  0.140  0.305  0.444
Br  0.260  0.700  0.948
Br  0.260  0.800  0.448
Br  0.357  0.031  0.748
Br  0.357  0.469  0.248
Br  0.643  0.531  0.752
Br  0.643  0.969  0.252
Br  0.740  0.200  0.552
Br  0.740  0.300  0.052
Br  0.860  0.695  0.556
Br  0.860  0.805  0.056

Values from the calculation:
- SG = P2_1/c, No. 14
- total energy (hartree per atom) = -0.1509

---

# 2
# KNpAg2Br8

A relaxed KNpAg2Br8 crystal (PBE, Alexandria via LeMat-Bulk).

Cell lengths 6.802, 7.469, 9.675 Å; angles 111.43, 91.40, 100.31 degrees
Atoms (fractional coordinates):
K  0.000  0.000  0.000
Np  0.000  0.000  0.500
Ag  0.494  0.342  0.819
Ag  0.506  0.658  0.181
Br  0.103  0.751  0.236
Br  0.148  0.804  0.648
Br  0.362  0.250  0.537
Br  0.467  0.261  0.060
Br  0.533  0.739  0.940
Br  0.638  0.750  0.463
Br  0.852  0.196  0.352
Br  0.897  0.249  0.764

Values from the calculation:
- SG = P-1, No. 2
- total energy (hartree per atom) = -0.1356

---

# 3
# KNpAgBr5

A relaxed KNpAgBr5 crystal (PBE, Alexandria via LeMat-Bulk).

Cell lengths 8.011, 8.011, 10.772 Å; angles 103.42, 103.42, 107.58 degrees
Atoms (fractional coordinates):
K  0.145  0.855  0.750
K  0.855  0.145  0.250
Np  0.500  0.500  0.000
Np  0.500  0.500  0.500
Ag  0.189  0.811  0.250
Ag  0.811  0.189  0.750
Br  0.129  0.245  0.946
Br  0.174  0.575  0.393
Br  0.245  0.129  0.446
Br  0.412  0.588  0.750
Br  0.425  0.826  0.107
Br  0.575  0.174  0.893
Br  0.588  0.412  0.250
Br  0.755  0.871  0.554
Br  0.826  0.425  0.607
Br  0.871  0.755  0.054

Values from the calculation:
- SG = C2/c, No. 15
- total energy (hartree per atom) = -0.1593

---

# 4
# KAg2BrO

A relaxed KAg2BrO crystal (PBE, Alexandria via LeMat-Bulk).

Cell lengths 5.184, 5.184, 6.630 Å; angles 90.00, 90.00, 90.00 degrees
Atoms (fractional coordinates):
K  0.000  0.000  0.000
Ag  0.000  0.500  0.500
Ag  0.500  0.000  0.500
Br  0.000  0.000  0.500
O  0.500  0.500  0.000

Values from the calculation:
- SG = P4/mmm, No. 123
- polymorph energy (0 for the lowest one) (meV per atom) = 745

---

# 5
# K5AgBrO2

A relaxed K5AgBrO2 crystal (PBE, Alexandria via LeMat-Bulk).

Cell lengths 5.433, 5.433, 9.382 Å; angles 90.00, 90.00, 90.00 degrees
Atoms (fractional coordinates):
K  0.000  0.000  0.000
K  0.000  0.500  0.281
K  0.000  0.500  0.719
K  0.500  0.000  0.281
K  0.500  0.000  0.719
Ag  0.000  0.000  0.500
Br  0.500  0.500  0.000
O  0.000  0.000  0.276
O  0.000  0.000  0.724

Values from the calculation:
- SG = P4/mmm, No. 123
- total energy (hartree per atom) = -0.1187

---

# 6
# KAg2BrO

A relaxed KAg2BrO crystal (PBE, Alexandria via LeMat-Bulk).

Cell lengths 7.608, 7.608, 7.890 Å; angles 90.00, 90.00, 149.77 degrees
Atoms (fractional coordinates):
K  0.032  0.968  0.750
K  0.968  0.032  0.250
Ag  0.361  0.639  0.568
Ag  0.361  0.639  0.932
Ag  0.639  0.361  0.068
Ag  0.639  0.361  0.432
Br  0.250  0.750  0.250
Br  0.750  0.250  0.750
O  0.500  0.500  0.000
O  0.500  0.500  0.500

Values from the calculation:
- SG = Cmcm, No. 63
- polymorph energy (0 for the lowest one) (meV per atom) = 0

---

# 7
# KAgOsBr6

A relaxed KAgOsBr6 crystal (PBE, Alexandria via LeMat-Bulk).

Cell lengths 7.142, 7.142, 6.987 Å; angles 90.00, 90.00, 120.00 degrees
Atoms (fractional coordinates):
K  0.000  0.000  0.000
Ag  0.333  0.667  0.500
Os  0.667  0.333  0.500
Br  0.388  0.039  0.706
Br  0.388  0.348  0.294
Br  0.652  0.039  0.294
Br  0.652  0.612  0.706
Br  0.961  0.348  0.706
Br  0.961  0.612  0.294

Values from the calculation:
- SG = P312, No. 149
- total energy (hartree per atom) = -0.1216

---

# 8
# K2AgPBr6

A relaxed K2AgPBr6 crystal (PBE, Alexandria via LeMat-Bulk).

Cell lengths 7.835, 7.846, 7.854 Å; angles 61.53, 61.66, 61.60 degrees
Atoms (fractional coordinates):
K  0.000  0.000  0.000
K  0.459  0.457  0.457
Ag  0.790  0.790  0.788
P  0.229  0.229  0.229
Br  0.015  0.357  0.509
Br  0.071  0.880  0.436
Br  0.358  0.509  0.016
Br  0.437  0.070  0.881
Br  0.510  0.015  0.358
Br  0.881  0.437  0.069

Values from the calculation:
- SG = P1, No. 1
- total energy (hartree per atom) = -0.1068

---

# 9
# KPaAgBr6

A relaxed KPaAgBr6 crystal (PBE, Alexandria via LeMat-Bulk).

Cell lengths 7.335, 7.335, 14.809 Å; angles 90.00, 90.00, 120.00 degrees
Atoms (fractional coordinates):
K  0.000  0.000  0.000
K  0.000  0.000  0.500
Pa  0.333  0.667  0.250
Pa  0.667  0.333  0.750
Ag  0.333  0.667  0.750
Ag  0.667  0.333  0.250
Br  0.011  0.366  0.138
Br  0.011  0.645  0.362
Br  0.355  0.366  0.362
Br  0.355  0.989  0.138
Br  0.366  0.011  0.638
Br  0.366  0.355  0.862
Br  0.634  0.645  0.138
Br  0.634  0.989  0.362
Br  0.645  0.011  0.862
Br  0.645  0.634  0.638
Br  0.989  0.355  0.638
Br  0.989  0.634  0.862

Values from the calculation:
- SG = P-31c, No. 163
- total energy (hartree per atom) = -0.1434

---

# 10
# KAg4Pb3Br12

A relaxed KAg4Pb3Br12 crystal (PBE, Alexandria via LeMat-Bulk).

Cell lengths 9.844, 9.844, 9.844 Å; angles 107.20, 107.20, 107.20 degrees
Atoms (fractional coordinates):
K  0.000  0.000  0.000
Ag  0.077  0.500  0.923
Ag  0.500  0.500  0.500
Ag  0.500  0.923  0.077
Ag  0.923  0.077  0.500
Pb  0.000  0.561  0.439
Pb  0.439  0.000  0.561
Pb  0.561  0.439  0.000
Br  0.013  0.657  0.766
Br  0.094  0.906  0.500
Br  0.234  0.343  0.987
Br  0.338  0.662  0.500
Br  0.343  0.987  0.234
Br  0.500  0.094  0.906
Br  0.500  0.338  0.662
Br  0.657  0.766  0.013
Br  0.662  0.500  0.338
Br  0.766  0.013  0.657
Br  0.906  0.500  0.094
Br  0.987  0.234  0.343

Values from the calculation:
- SG = R32, No. 155
- total energy (hartree per atom) = -0.1050

---

# 11
# K2AgPbBr5

A relaxed K2AgPbBr5 crystal (PBE, Alexandria via LeMat-Bulk).

Cell lengths 9.914, 9.914, 14.195 Å; angles 90.00, 90.00, 153.77 degrees
Atoms (fractional coordinates):
K  0.106  0.894  0.500
K  0.127  0.873  0.127
K  0.873  0.127  0.627
K  0.894  0.106  0.000
Ag  0.480  0.520  0.270
Ag  0.520  0.480  0.770
Pb  0.209  0.791  0.830
Pb  0.791  0.209  0.330
Br  0.051  0.949  0.865
Br  0.283  0.717  0.479
Br  0.301  0.699  0.184
Br  0.365  0.635  0.819
Br  0.497  0.503  0.588
Br  0.503  0.497  0.088
Br  0.635  0.365  0.319
Br  0.699  0.301  0.684
Br  0.717  0.283  0.979
Br  0.949  0.051  0.365

Values from the calculation:
- SG = Cmc2_1, No. 36
- total energy (hartree per atom) = -0.1128

---

# 12
# KAgPbBr4

A relaxed KAgPbBr4 crystal (PBE, Alexandria via LeMat-Bulk).

Cell lengths 7.383, 7.821, 8.987 Å; angles 90.00, 107.09, 90.00 degrees
Atoms (fractional coordinates):
K  0.221  0.250  0.051
K  0.779  0.750  0.949
Ag  0.231  0.750  0.320
Ag  0.769  0.250  0.680
Pb  0.214  0.250  0.555
Pb  0.786  0.750  0.445
Br  0.020  0.511  0.732
Br  0.020  0.989  0.732
Br  0.474  0.750  0.147
Br  0.489  0.750  0.605
Br  0.511  0.250  0.395
Br  0.526  0.250  0.853
Br  0.980  0.011  0.268
Br  0.980  0.489  0.268

Values from the calculation:
- SG = P2_1/m, No. 11
- total energy (hartree per atom) = -0.1105